# K3H2S2NO7 SCAN PBEsol geometry
# **Spin magnetization**: 0.0 μB per formula unit
# **E**: -0.31506 Ha/atom
data_K3H2S2NO7
_space_group_name_H-M_alt 'P -1'
_space_group_IT_number 2
_cell_length_a 6.698
_cell_length_b 7.891
_cell_length_c 8.260
_cell_angle_alpha 98.94
_cell_angle_beta 90.89
_cell_angle_gamma 104.07
loop_
_space_group_symop_operation_xyz
'x,y,z'
'-x,-y,-z'
loop_
_atom_site_label
_atom_site_fract_x
_atom_site_fract_y
_atom_site_fract_z
_atom_site_occupancy
K1 0.174 0.165 0.430 1
K2 0.181 0.556 0.763 1
K3 0.291 0.152 0.935 1
H1 0.266 0.788 0.527 1
H2 0.400 0.948 0.656 1
S1 0.190 0.808 0.151 1
S2 0.358 0.562 0.277 1
N1 0.254 0.623 0.126 1
O1 0.027 0.810 0.270 1
O2 0.111 0.819 0.986 1
O3 0.226 0.566 0.421 1
O4 0.259 0.892 0.609 1
O5 0.370 0.379 0.216 1
O6 0.372 0.960 0.205 1
O7 0.434 0.322 0.679 1

---

# KHRu2N SCAN PBEsol geometry
# **Spin magnetization**: 2.6 μB per formula unit
# **E**: -0.64155 Ha/atom
data_KHRu2N
_space_group_name_H-M_alt 'P 4/m m m'
_space_group_IT_number 123
_space_group_name_Hall '-P 4 2'
_cell_length_a 3.798
_cell_length_b 3.798
_cell_length_c 6.280
_cell_angle_alpha 90.00
_cell_angle_beta 90.00
_cell_angle_gamma 90.00
loop_
_atom_site_label
_atom_site_fract_x
_atom_site_fract_y
_atom_site_fract_z
_atom_site_occupancy
K1 0.000 0.000 0.000 1
H1 0.500 0.500 0.000 1
Ru1 0.000 0.500 0.500 1
N1 0.500 0.500 0.500 1

---

# KHSN2 SCAN PBEsol geometry
# **Relative energy among the computed polymorphs**: 0.0 meV per atom
# **Spin magnetization**: 4.9 μB per formula unit
data_KHSN2
_space_group_name_H-M_alt 'P 4/m m m'
_space_group_IT_number 123
_space_group_name_Hall '-P 4 2'
_cell_length_a 4.439
_cell_length_b 4.439
_cell_length_c 3.222
_cell_angle_alpha 90.00
_cell_angle_beta 90.00
_cell_angle_gamma 90.00
loop_
_atom_site_label
_atom_site_fract_x
_atom_site_fract_y
_atom_site_fract_z
_atom_site_occupancy
K1 0.000 0.000 0.000 1
H1 0.500 0.500 0.500 1
S1 0.500 0.500 0.000 1
N1 0.000 0.500 0.500 1

---

# KHSN2 SCAN PBEsol geometry
# **Relative energy among the computed polymorphs**: 675.2 meV per atom
# **Spin magnetization**: 8.0 μB per formula unit
data_KHSN2
_space_group_name_H-M_alt 'P 4/m m m'
_space_group_IT_number 123
_space_group_name_Hall '-P 4 2'
_cell_length_a 5.769
_cell_length_b 5.769
_cell_length_c 6.021
_cell_angle_alpha 90.00
_cell_angle_beta 90.00
_cell_angle_gamma 90.00
loop_
_atom_site_label
_atom_site_fract_x
_atom_site_fract_y
_atom_site_fract_z
_atom_site_occupancy
K1 0.000 0.000 0.000 1
H1 0.500 0.500 0.500 1
S1 0.000 0.000 0.500 1
N1 0.000 0.500 0.000 1

---

# K3Si6H6N11 SCAN PBEsol geometry
# **Spin magnetization**: 0.0 μB per formula unit
# **E**: -0.32953 Ha/atom
data_K3Si6H6N11
_space_group_name_H-M_alt 'P 41 3 2'
_space_group_IT_number 213
_space_group_name_Hall 'P 4bd 2ab 3'
_cell_length_a 10.794
_cell_length_b 10.794
_cell_length_c 10.794
_cell_angle_alpha 90.00
_cell_angle_beta 90.00
_cell_angle_gamma 90.00
loop_
_atom_site_label
_atom_site_fract_x
_atom_site_fract_y
_atom_site_fract_z
_atom_site_occupancy
K1 0.042 0.458 0.542 1
K2 0.125 0.625 0.875 1
Si1 0.013 0.839 0.566 1
H1 0.033 0.624 0.320 1
N1 0.025 0.382 0.279 1
N2 0.031 0.969 0.469 1
N3 0.033 0.875 0.717 1

---

# KTi2HN SCAN PBEsol geometry
# **Spin magnetization**: 3.2 μB per formula unit
# **E**: -0.39187 Ha/atom
data_KTi2HN
_space_group_name_H-M_alt 'P 4/m m m'
_space_group_IT_number 123
_space_group_name_Hall '-P 4 2'
_cell_length_a 3.956
_cell_length_b 3.956
_cell_length_c 6.490
_cell_angle_alpha 90.00
_cell_angle_beta 90.00
_cell_angle_gamma 90.00
loop_
_atom_site_label
_atom_site_fract_x
_atom_site_fract_y
_atom_site_fract_z
_atom_site_occupancy
K1 0.000 0.000 0.000 1
Ti1 0.000 0.500 0.500 1
H1 0.500 0.500 0.000 1
N1 0.000 0.000 0.500 1

---

# K2ZrH12N6 SCAN PBEsol geometry
# **Spin magnetization**: 0.0 μB per formula unit
# **E**: -0.27398 Ha/atom
data_K2ZrH12N6
_space_group_name_H-M_alt 'R -3 c'
_space_group_IT_number 167
_space_group_name_Hall '-R 3 2"c'
_cell_length_a 6.4177
_cell_length_b 6.4177
_cell_length_c 31.8848
_cell_angle_alpha 90.00
_cell_angle_beta 90.00
_cell_angle_gamma 120.00
loop_
_atom_site_label
_atom_site_fract_x
_atom_site_fract_y
_atom_site_fract_z
_atom_site_occupancy
K1 0.0000 0.0000 0.1288 1
Zr1 0.0000 0.0000 0.2500 1
H1 0.0190 0.4475 0.1479 1
H2 0.0210 0.2090 0.5487 1
N1 0.0155 0.4675 0.8764 1

---

# KNa3H4 SCAN PBEsol geometry
# **Spin magnetization**: 0.0 μB per formula unit
# **E**: -0.16861 Ha/atom
data_KNa3H4
_space_group_name_H-M_alt 'P m -3 m'
_space_group_IT_number 221
_space_group_name_Hall '-P 4 2 3'
_cell_length_a 5.016
_cell_length_b 5.016
_cell_length_c 5.016
_cell_angle_alpha 90.00
_cell_angle_beta 90.00
_cell_angle_gamma 90.00
loop_
_atom_site_label
_atom_site_fract_x
_atom_site_fract_y
_atom_site_fract_z
_atom_site_occupancy
K1 0.000 0.000 0.000 1
Na1 0.000 0.500 0.500 1
H1 0.000 0.000 0.500 1
H2 0.500 0.500 0.500 1

---

- Number 2 is which compound?
  KHRu2N